Record 1
The following is a PBE-GGA calculation of a relaxed structure of AcNpTe2S, from the Alexandria database.

a = 4.5900 Å, b = 4.5900 Å, c = 15.8304 Å
α = 90.00°, β = 90.00°, γ = 90.00°
Sites, in units of the cell vectors:
Ac1 0.2500 0.2500 0.1108
Ac2 0.7500 0.7500 0.8892
Np1 0.2500 0.2500 0.6023
Np2 0.7500 0.7500 0.3977
Te1 0.2500 0.2500 0.4025
Te2 0.2500 0.2500 0.7902
Te3 0.7500 0.7500 0.2098
Te4 0.7500 0.7500 0.5975
S1 0.2500 0.7500 0.0000
S2 0.7500 0.2500 0.0000

The value obtained for the total energy is -6.697 eV/atom. Its space-group type is P4/nmm. For the uncorrected formation energy, the calculation gives -1.205 eV/atom.

***

Record 2
The following is a PBE-GGA calculation of a relaxed structure of Ce6Tl12Cd, from the Alexandria database.

a = 8.8509 Å, b = 8.8509 Å, c = 8.8509 Å
α = 107.46°, β = 107.46°, γ = 107.46°
Sites, in units of the cell vectors:
Ce1 0.0409 0.3060 0.4227
Ce2 0.3060 0.4227 0.0409
Ce3 0.4227 0.0409 0.3060
Ce4 0.5773 0.9591 0.6940
Ce5 0.6940 0.5773 0.9591
Ce6 0.9591 0.6940 0.5773
Tl1 0.0265 0.9110 0.3119
Tl2 0.0890 0.6881 0.9735
Tl3 0.2122 0.6586 0.3539
Tl4 0.3119 0.0265 0.9110
Tl5 0.3414 0.6461 0.7878
Tl6 0.3539 0.2122 0.6586
Tl7 0.6461 0.7878 0.3414
Tl8 0.6586 0.3539 0.2122
Tl9 0.6881 0.9735 0.0890
Tl10 0.7878 0.3414 0.6461
Tl11 0.9110 0.3119 0.0265
Tl12 0.9735 0.0890 0.6881
Cd1 0.5000 0.5000 0.5000

The value obtained for the total energy is -3.514 eV/atom. Its space-group type is R-3. For the formation energy, the calculation gives -0.10 eV per atom.

***

Record 3
The following is a PBE-GGA calculation of a relaxed structure of CuAg3W, from the Alexandria database.

a = 5.0850 Å, b = 5.0850 Å, c = 5.0850 Å
α = 90.00°, β = 90.00°, γ = 90.00°
Sites, in units of the cell vectors:
Cu1 0.0000 0.0000 0.0000
Ag1 0.0000 0.5000 0.5000
Ag2 0.5000 0.0000 0.5000
Ag3 0.5000 0.5000 0.0000
W1 0.5000 0.5000 0.5000

The value obtained for the total energy is -3.188 eV/atom. Its space-group type is Pm-3m. For the formation energy, the calculation gives 1.93 eV per atom. The value obtained for the offset from the most stable computed form is 356 meV/atom.